# ScMnIr2 (GGA-PBE, relaxed)
# SG ... Cm, No. 8
# V ... 62.2 Å³ per cell
# Uncorrected energy ... -8.666 eV per atom
# DOS at the Fermi energy ... 3.895 states/eV/cell
# Energy of formation from the pure elements ... -0.360 eV/atom
data_ScMnIr2
_chemical_formula_sum 'Sc1 Mn1 Ir2'
_cell_length_a 4.948
_cell_length_b 4.948
_cell_length_c 4.609
_cell_angle_alpha 79.26
_cell_angle_beta 79.26
_cell_angle_gamma 34.17
_space_group_name_H-M_alt 'P 1'
_space_group_IT_number 1
_space_group_name_Hall 'P 1'
loop_
_atom_site_label
_atom_site_type_symbol
_atom_site_fract_x
_atom_site_fract_y
_atom_site_fract_z
Sc1 Sc 0.256 0.256 0.234
Ir1 Ir 0.749 0.749 0.734
Ir2 Ir 0.007 0.007 0.999
Mn1 Mn 0.488 0.488 0.532